No. 1
Crystalline NaCaTeAu at its relaxed geometry, computed with PBE.

Cell lengths 5.2943, 5.2943, 5.2943 Å; angles 60.00, 60.00, 60.00 degrees
Closest atoms and distances in Å follow each position.
Fractional coordinates of all 4 atoms:
Na 0.0000 0.0000 0.0000  4 Te 3.24, 4 Au 3.24
Ca 0.5000 0.5000 0.5000  4 Te 3.24, 4 Au 3.24
Te 0.7500 0.7500 0.7500  4 Na 3.24, 4 Ca 3.24
Au 0.2500 0.2500 0.2500  4 Ca 3.24, 4 Na 3.24

Properties
- Spin magnetization: 0.00 μB/atom
- Raw formation energy: -3.50 eV per formula unit
- Space-group type: F-43m (216)
- Density of states at the Fermi level: 0.0 states/eV/cell

***

No. 2
Crystalline NaCaTlAu at its relaxed geometry, computed with PBE.

Cell lengths 5.2361, 5.2361, 5.2361 Å; angles 60.00, 60.00, 60.00 degrees
Closest atoms and distances in Å follow each position.
Fractional coordinates of all 4 atoms:
Na 0.0000 0.0000 0.0000  4 Au 3.21, 4 Tl 3.21
Ca 0.5000 0.5000 0.5000  4 Au 3.21, 4 Tl 3.21
Tl 0.2500 0.2500 0.2500  4 Ca 3.21, 4 Na 3.21
Au 0.7500 0.7500 0.7500  4 Ca 3.21, 4 Na 3.21

Properties
- Spin magnetization: 0.00 μB/atom
- Space-group type: F-43m (216)
- Density of states at the Fermi level: 2.8 states/eV/cell
- ΔE_f: -1.39 eV per formula unit
- Excess energy over the best structure of this formula in the dataset: 0.0000 eV per atom

***

No. 3
Crystalline NaCaTlAu at its relaxed geometry, computed with PBE.

Cell lengths 3.6390, 4.1111, 7.9014 Å; angles 90.00, 90.00, 90.00 degrees
Closest atoms and distances in Å follow each position.
Fractional coordinates of all 4 atoms:
Na 0.0000 0.0000 0.0000  2 Au 3.05, 2 Tl 3.19
Ca 0.5000 0.0000 0.5558  4 Au 3.02, 4 Tl 3.36
Tl 0.0000 0.5000 0.3095  2 Na 3.19, 1 Au 3.21, 4 Ca 3.36
Au 0.0000 0.5000 0.7156  4 Ca 3.02, 2 Na 3.05, 1 Tl 3.21

Properties
- Spin magnetization: 0.00 μB/atom
- Space-group type: Pmm2 (25)
- Density of states at the Fermi level: 2.2 states/eV/cell
- ΔE_f: -1.24 eV per formula unit
- Excess energy over the best structure of this formula in the dataset: 0.0363 eV per atom

***

No. 4
Crystalline NaCaTm2Au4 at its relaxed geometry, computed with PBE.

Cell lengths 8.6753, 8.6753, 8.6753 Å; angles 33.52, 33.52, 33.52 degrees
Closest atoms and distances in Å follow each position.
Fractional coordinates of all 8 atoms:
Na 0.0000 0.0000 0.0000  8 Au 3.08-3.10
Ca 0.5000 0.5000 0.5000  8 Au 3.03-3.05
Tm 0.2534 0.2534 0.2534  8 Au 3.03-3.12
Tm 0.7466 0.7466 0.7466  8 Au 3.03-3.12
Au 0.1262 0.1262 0.1262  3 Ca 3.05, 1 Na 3.10, 4 Tm 3.10-3.12
Au 0.3767 0.3767 0.3767  4 Tm 3.03, 1 Ca 3.03, 3 Na 3.08
Au 0.6233 0.6233 0.6233  4 Tm 3.03, 1 Ca 3.03, 3 Na 3.08
Au 0.8738 0.8738 0.8738  3 Ca 3.05, 1 Na 3.10, 4 Tm 3.10-3.12

Properties
- Spin magnetization: 0.00 μB/atom
- Space-group type: R-3m (166)
- Density of states at the Fermi level: 4.4 states/eV/cell
- ΔE_f: -5.59 eV per formula unit

***

No. 5
Crystalline NaCaY2Au4 at its relaxed geometry, computed with PBE.

Cell lengths 8.7489, 8.7489, 8.7489 Å; angles 33.59, 33.59, 33.59 degrees
Closest atoms and distances in Å follow each position.
Fractional coordinates of all 8 atoms:
Na 0.0000 0.0000 0.0000  8 Au 3.11-3.15
Ca 0.5000 0.5000 0.5000  8 Au 3.04-3.08
Y 0.2534 0.2534 0.2534  8 Au 3.05-3.14
Y 0.7466 0.7466 0.7466  8 Au 3.05-3.14
Au 0.1272 0.1272 0.1272  3 Ca 3.08, 4 Y 3.12-3.14, 1 Na 3.15
Au 0.3771 0.3771 0.3771  1 Ca 3.04, 4 Y 3.05-3.06, 3 Na 3.11
Au 0.6229 0.6229 0.6229  1 Ca 3.04, 4 Y 3.05-3.06, 3 Na 3.11
Au 0.8728 0.8728 0.8728  3 Ca 3.08, 4 Y 3.12-3.14, 1 Na 3.15

Properties
- Spin magnetization: 0.00 μB/atom
- Space-group type: R-3m (166)
- Density of states at the Fermi level: 4.9 states/eV/cell
- ΔE_f: -5.65 eV per formula unit

***

No. 6
Crystalline NaCaZn2Au2 at its relaxed geometry, computed with PBE.

Cell lengths 4.5844, 4.5844, 6.9193 Å; angles 90.00, 90.00, 120.00 degrees
Closest atoms and distances in Å follow each position.
Fractional coordinates of all 6 atoms:
Na 0.0000 0.0000 0.0000  6 Zn 3.02, 6 Au 3.10
Ca 0.0000 0.0000 0.5000  6 Au 3.22, 6 Zn 3.32, 2 Na 3.46
Zn 0.3333 0.6667 0.7892  3 Au 2.65
Zn 0.6667 0.3333 0.2108  3 Au 2.65
Au 0.3333 0.6667 0.2342  3 Zn 2.65
Au 0.6667 0.3333 0.7658  3 Zn 2.65

Properties
- Spin magnetization: 0.00 μB/atom
- Space-group type: P-3m1 (164)
- Density of states at the Fermi level: 2.1 states/eV/cell
- ΔE_f: -2.60 eV per formula unit

***

No. 7
Crystalline Na2CaZnAu2 at its relaxed geometry, computed with PBE.

Cell lengths 4.3443, 8.7508, 7.4926 Å; angles 90.00, 90.00, 90.00 degrees
Closest atoms and distances in Å follow each position.
Fractional coordinates of all 12 atoms:
Na 0.0000 0.0779 0.0000  5 Au 3.15-3.45, 4 Na 3.29-3.34
Na 0.0000 0.9221 0.5000  5 Au 3.15-3.45, 4 Na 3.29-3.34
Na 0.5000 0.1614 0.3236  4 Au 2.92-3.00
Na 0.5000 0.8386 0.8236  4 Au 2.92-3.00
Ca 0.5000 0.4395 0.9565  5 Au 2.99-3.12, 2 Zn 3.27
Ca 0.5000 0.5605 0.4565  5 Au 2.99-3.12, 2 Zn 3.27
Zn 0.0000 0.3180 0.6167  4 Au 2.64-2.82
Zn 0.0000 0.6820 0.1167  4 Au 2.64-2.82
Au 0.0000 0.3894 0.2498  2 Zn 2.75-2.82, 2 Na 3.00, 2 Ca 3.06
Au 0.0000 0.6106 0.7498  2 Zn 2.75-2.82, 2 Na 3.00, 2 Ca 3.06
Au 0.5000 0.1681 0.7137  2 Zn 2.64, 1 Na 2.92
Au 0.5000 0.8319 0.2137  2 Zn 2.64, 1 Na 2.92

Properties
- Spin magnetization: 0.00 μB/atom
- Space-group type: Pmc2_1 (26)
- Density of states at the Fermi level: 3.3 states/eV/cell
- ΔE_f: -2.57 eV per formula unit

***

No. 8
Crystalline NaCaZnAu at its relaxed geometry, computed with PBE.

Cell lengths 5.0991, 5.0991, 5.0991 Å; angles 60.00, 60.00, 60.00 degrees
Closest atoms and distances in Å follow each position.
Fractional coordinates of all 4 atoms:
Na 0.0000 0.0000 0.0000  4 Zn 3.12, 4 Au 3.12
Ca 0.5000 0.5000 0.5000  4 Zn 3.12, 4 Au 3.12
Zn 0.2500 0.2500 0.2500  4 Na 3.12, 4 Ca 3.12
Au 0.7500 0.7500 0.7500  4 Na 3.12, 4 Ca 3.12

Properties
- Spin magnetization: 0.00 μB/atom
- Space-group type: F-43m (216)
- Density of states at the Fermi level: 2.6 states/eV/cell
- ΔE_f: -1.20 eV per formula unit

***

No. 9
Crystalline NaCa2ZnAu at its relaxed geometry, computed with PBE.

Cell lengths 5.7767, 5.7767, 4.9666 Å; angles 90.00, 90.00, 90.00 degrees
Closest atoms and distances in Å follow each position.
Fractional coordinates of all 5 atoms:
Na 0.0000 0.0000 0.0000  8 Ca 3.81, 4 Zn 4.08
Ca 0.0000 0.5000 0.5000  2 Au 2.89
Ca 0.5000 0.0000 0.5000  2 Au 2.89
Zn 0.5000 0.5000 0.0000  2 Au 2.48
Au 0.5000 0.5000 0.5000  2 Zn 2.48

Properties
- Spin magnetization: 0.00 μB/atom
- Space-group type: P4/mmm (123)
- Density of states at the Fermi level: 2.1 states/eV/cell
- ΔE_f: -1.12 eV per formula unit

***

No. 10
Crystalline CaNb2Au4 at its relaxed geometry, computed with PBE.

Cell lengths 7.7315, 7.7315, 7.7315 Å; angles 140.21, 140.21, 57.53 degrees
Closest atoms and distances in Å follow each position.
Fractional coordinates of all 7 atoms:
Ca 0.0000 0.0000 0.0000  6 Au 2.63-2.84
Nb 0.4105 0.4105 0.0000  1 Nb 2.43
Nb 0.5895 0.5895 0.0000  1 Nb 2.43
Au 0.0000 0.5000 0.5000  2 Ca 2.63, 4 Nb 2.90
Au 0.2098 0.2098 0.0000  1 Nb 2.72, 1 Ca 2.84
Au 0.5000 0.0000 0.5000  2 Ca 2.63, 4 Nb 2.90
Au 0.7902 0.7902 0.0000  1 Nb 2.72, 1 Ca 2.84

Properties
- Spin magnetization: 0.00 μB/atom
- Space-group type: I4/mmm (139)
- Density of states at the Fermi level: 6.8 states/eV/cell
- ΔE_f: 3.95 eV per formula unit

***

No. 11
Crystalline CaNbAu2 at its relaxed geometry, computed with PBE.

Cell lengths 9.2148, 9.2148, 9.2148 Å; angles 148.27, 148.27, 45.49 degrees
Closest atoms and distances in Å follow each position.
Fractional coordinates of all 8 atoms:
Ca 0.0000 0.0000 0.0000  4 Au 2.93
Ca 0.7500 0.2500 0.5000  4 Au 2.93
Nb 0.2500 0.7500 0.5000  4 Au 2.64
Nb 0.5000 0.5000 0.0000  4 Au 2.64
Au 0.1872 0.6250 0.0622  2 Nb 2.64, 2 Ca 2.93
Au 0.3750 0.4372 0.5622  2 Nb 2.64, 2 Ca 2.93
Au 0.5628 0.1250 0.9378  2 Nb 2.64, 2 Ca 2.93
Au 0.8750 0.8128 0.4378  2 Nb 2.64, 2 Ca 2.93

Properties
- Spin magnetization: 0.17 μB/atom
- Space-group type: I-42d (122)
- Density of states at the Fermi level: 6.1 states/eV/cell
- ΔE_f: 1.40 eV per formula unit
- Excess energy over the best structure of this formula in the dataset: 0.4492 eV per atom

***

No. 12
Crystalline Ca3NbAu at its relaxed geometry, computed with PBE.

Cell lengths 5.6063, 5.6063, 5.6063 Å; angles 90.00, 90.00, 90.00 degrees
Closest atoms and distances in Å follow each position.
Fractional coordinates of all 5 atoms:
Ca 0.0000 0.0000 0.5000  2 Au 2.80
Ca 0.0000 0.5000 0.0000  2 Au 2.80
Ca 0.5000 0.0000 0.0000  2 Au 2.80
Nb 0.5000 0.5000 0.5000  12 Ca 3.96
Au 0.0000 0.0000 0.0000  6 Ca 2.80

Properties
- Spin magnetization: 0.83 μB/atom
- Space-group type: Pm-3m (221)
- Density of states at the Fermi level: 5.9 states/eV/cell
- ΔE_f: 2.09 eV per formula unit
- Excess energy over the best structure of this formula in the dataset: 0.0000 eV per atom

***

no.,total DFT energy (no corrections) (eV per cell)
1,-13.2
2,-10.3
3,-10.2
4,-31.0
5,-35.0
6,-15.0
7,-30.1
8,-9.1
9,-11.0
10,-31.3
11,-34.5
12,-17.3